(1)
NaMgIn2H: optimized geometry, GGA-PBEsol.

Cell lengths 3.5591, 5.7333, 5.7333 Å; angles 90.00, 90.00, 90.00 degrees
Atoms (fractional coordinates):
Na: 0.0000 0.0000 0.0000
Mg: 0.5000 0.5000 0.5000
H: 0.5000 0.0000 0.0000
In: 0.0000 0.0000 0.5000
In: 0.0000 0.5000 0.0000

Properties
SG: P4/mmm (123)

(2)
MnIn2H2: optimized geometry, GGA-PBEsol.

Cell lengths 2.9824, 2.9824, 7.2977 Å; angles 101.79, 101.79, 90.00 degrees
Atoms (fractional coordinates):
H: 0.2500 0.7500 0.5000
H: 0.7500 0.2500 0.5000
Mn: 0.0000 0.0000 0.0000
In: 0.3678 0.3678 0.7357
In: 0.6322 0.6322 0.2643

Properties
SG: I4/mmm (139)

(3)
MnInH2: optimized geometry, GGA-PBEsol.

Cell lengths 4.3377, 4.3377, 5.4719 Å; angles 113.35, 113.35, 90.00 degrees
Atoms (fractional coordinates):
H: 0.5128 0.8750 0.2500
H: 0.7372 0.3750 0.2500
H: 0.1250 0.2628 0.7500
H: 0.6250 0.4872 0.7500
Mn: 0.7500 0.2500 0.5000
Mn: 0.5000 0.5000 0.0000
In: 0.2500 0.7500 0.5000
In: 0.0000 0.0000 0.0000

Properties
SG: I-42d (122)

Listing E for the structures above in their given order: -2.040 -4.011 -4.538 eV per atom.